Entry 1:
A relaxed Gd2InCu crystal. Source: the Alexandria database, functional PBE-GGA.

Values from the calculation:
The space group is No. 166. For the formation enthalpy at 0 K, the calculation gives 0.1331 eV per atom. As for the volume: 28.7 Å³ per atom.

The structure in POSCAR format:
```
Gd2InCu
1.0
3.5513 0.0000 0.0000
1.7756 3.0755 0.0000
1.7756 1.0252 10.5079
Gd Cu In
2 1 1
direct
0.1028 0.1028 0.6917 Gd
0.8972 0.8972 0.3083 Gd
0.5000 0.5000 0.5000 Cu
0.0000 0.0000 0.0000 In
```

=====

Entry 2:
A relaxed MnCdI4 crystal. Source: the Alexandria database, functional PBE-GGA.

Values from the calculation:
The space group is No. 10. As for the volume: 38.7 Å³ per atom. As for the uncorrected energy: -3.212 eV per atom.

The structure in POSCAR format:
```
MnCdI4
1.0
-3.3293 0.6068 -2.5257
1.9539 -5.9530 -4.0057
-4.1012 -4.3319 4.3654
I Mn Cd
4 1 1
direct
0.0000 0.2241 0.6543 I
0.5000 0.7709 0.8254 I
0.5000 0.2291 0.1746 I
0.0000 0.7759 0.3457 I
0.5000 0.0000 0.5000 Mn
0.0000 0.0000 0.0000 Cd
```

=====

Entry 3:
A relaxed ZrIn3 crystal. Source: the Alexandria database, functional PBE-GGA.

Values from the calculation:
The space group is No. 47. For the formation enthalpy at 0 K, the calculation gives -0.1153 eV per atom. As for the volume: 23.7 Å³ per atom.

The structure in POSCAR format:
```
ZrIn3
1.0
-0.4039 -1.6123 3.0382
4.2531 0.6384 0.9041
-1.3884 5.4297 2.6969
In Zr
3 1
direct
0.5000 0.5000 0.2380 In
0.0000 0.0000 0.5000 In
0.5000 0.5000 0.7620 In
0.0000 0.0000 0.0000 Zr
```

=====

Which formula does entry 2 have?
MnCdI4

=====

Repeat the third record exactly.
A relaxed ZrIn3 crystal. Source: the Alexandria database, functional PBE-GGA.

Values from the calculation:
The space group is No. 47. For the formation enthalpy at 0 K, the calculation gives -0.1153 eV per atom. As for the volume: 23.7 Å³ per atom.

The structure in POSCAR format:
```
ZrIn3
1.0
-0.4039 -1.6123 3.0382
4.2531 0.6384 0.9041
-1.3884 5.4297 2.6969
In Zr
3 1
direct
0.5000 0.5000 0.2380 In
0.0000 0.0000 0.5000 In
0.5000 0.5000 0.7620 In
0.0000 0.0000 0.0000 Zr
```

=====

Please write out number 1 again, unchanged.
A relaxed Gd2InCu crystal. Source: the Alexandria database, functional PBE-GGA.

Values from the calculation:
The space group is No. 166. For the formation enthalpy at 0 K, the calculation gives 0.1331 eV per atom. As for the volume: 28.7 Å³ per atom.

The structure in POSCAR format:
```
Gd2InCu
1.0
3.5513 0.0000 0.0000
1.7756 3.0755 0.0000
1.7756 1.0252 10.5079
Gd Cu In
2 1 1
direct
0.1028 0.1028 0.6917 Gd
0.8972 0.8972 0.3083 Gd
0.5000 0.5000 0.5000 Cu
0.0000 0.0000 0.0000 In
```